# Cs2RbMoS4, optimized geometry, DFT PBE
data_Cs2RbMoS4
_cell_length_a 7.592
_cell_length_b 13.629
_cell_length_c 30.684
_cell_angle_alpha 90.00
_cell_angle_beta 90.00
_cell_angle_gamma 90.00
_symmetry_space_group_name_H-M 'F d d d'
_symmetry_Int_Tables_number 70
loop_
_symmetry_equiv_pos_as_xyz
'x,y,z'
'-x,-y,-z'
'-x+1/4,-y+1/4,z'
'x+1/4,y+1/4,-z'
'x,-y+1/4,-z+1/4'
'-x,y+1/4,z+1/4'
'-x+1/4,y,-z+1/4'
'x+1/4,-y,z+1/4'
'x,y+1/2,z+1/2'
'-x,-y+1/2,-z+1/2'
'-x+1/4,-y+3/4,z+1/2'
'x+1/4,y+3/4,-z+1/2'
'x,-y+3/4,-z+3/4'
'-x,y+3/4,z+3/4'
'-x+1/4,y+1/2,-z+3/4'
'x+1/4,-y+1/2,z+3/4'
'x+1/2,y,z+1/2'
'-x+1/2,-y,-z+1/2'
'-x+3/4,-y+1/4,z+1/2'
'x+3/4,y+1/4,-z+1/2'
'x+1/2,-y+1/4,-z+3/4'
'-x+1/2,y+1/4,z+3/4'
'-x+3/4,y,-z+3/4'
'x+3/4,-y,z+3/4'
'x+1/2,y+1/2,z'
'-x+1/2,-y+1/2,-z'
'-x+3/4,-y+3/4,z'
'x+3/4,y+3/4,-z'
'x+1/2,-y+3/4,-z+1/4'
'-x+1/2,y+3/4,z+1/4'
'-x+3/4,y+1/2,-z+1/4'
'x+3/4,-y+1/2,z+1/4'
loop_
_atom_site_label
_atom_site_fract_x
_atom_site_fract_y
_atom_site_fract_z
Cs1 0.125 0.125 0.322
Rb1 0.125 0.125 0.125
Mo1 0.125 0.125 0.625
S1 0.039 0.275 0.833
# * calculated total energy: -294.29 eV/cell
# * ΔE_f (raw): -0.85 eV per atom
# * theoretical density: 2.41 g cm⁻³